DFT (PBE) results for a relaxed PRhPbCl2 crystal.

Cell lengths 4.948, 4.948, 4.612 Å; angles 90.00, 90.00, 90.00 degrees
Fractional positions:
P  0.000  0.000  0.500
Rh  0.000  0.000  0.000
Pb  0.500  0.500  0.500
Cl  0.000  0.500  0.000
Cl  0.500  0.000  0.000

Output
Polymorph energy (0 for the lowest one) in meV per atom: 0
E_form (uncorrected) in eV/atom: -0.112
Calculated volume in Å³/atom: 22.6
Theoretical density in Mg/m³: 6.1
Electronic total energy in eV/atom: -4.14
Magnetic moment in μB per atom: 0.000
SG: P4/mmm

DFT (PBE) results for a relaxed PRuPbCl2 crystal.

Cell lengths 5.091, 5.091, 4.517 Å; angles 90.00, 90.00, 90.00 degrees
Fractional positions:
Pb  0.500  0.500  0.500
Cl  0.500  0.000  0.000
Cl  0.000  0.500  0.000
P  0.000  0.000  0.500
Ru  0.000  0.000  0.000

Output
Polymorph energy (0 for the lowest one) in meV per atom: 0
E_form (uncorrected) in eV/atom: -0.008
Calculated volume in Å³/atom: 23.4
Theoretical density in Mg/m³: 5.8
Electronic total energy in eV/atom: -4.43
Magnetic moment in μB per atom: 0.000
SG: P4/mmm

DFT (PBE) results for a relaxed P2RuPbCl crystal.

Cell lengths 4.560, 4.560, 5.563 Å; angles 90.00, 90.00, 90.00 degrees
Fractional positions:
P  0.000  0.500  0.000
P  0.500  0.000  0.000
Pb  0.500  0.500  0.500
Cl  0.000  0.000  0.500
Ru  0.000  0.000  0.000

Output
Polymorph energy (0 for the lowest one) in meV per atom: 0
E_form (uncorrected) in eV/atom: 0.174
Calculated volume in Å³/atom: 23.1
Theoretical density in Mg/m³: 5.8
Electronic total energy in eV/atom: -4.96
Magnetic moment in μB per atom: 0.000
SG: P4/mmm

DFT (PBE) results for a relaxed PRuPbCl2 crystal.

Cell lengths 5.226, 5.226, 5.360 Å; angles 90.00, 90.00, 90.00 degrees
Fractional positions:
Pb  0.000  0.000  0.000
P  0.000  0.000  0.500
Ru  0.500  0.500  0.500
Cl  0.500  0.000  0.000
Cl  0.000  0.500  0.000

Output
Polymorph energy (0 for the lowest one) in meV per atom: 1035
E_form (uncorrected) in eV/atom: 1.026
Calculated volume in Å³/atom: 29.3
Theoretical density in Mg/m³: 4.7
Electronic total energy in eV/atom: -3.39
Magnetic moment in μB per atom: 0.704
SG: P4/mmm

DFT (PBE) results for a relaxed P2RuPbCl crystal.

Cell lengths 5.129, 5.129, 5.124 Å; angles 90.00, 90.00, 90.00 degrees
Fractional positions:
Ru  0.500  0.500  0.500
P  0.500  0.000  0.000
P  0.000  0.500  0.000
Pb  0.000  0.000  0.000
Cl  0.000  0.000  0.500

Output
Polymorph energy (0 for the lowest one) in meV per atom: 1412
E_form (uncorrected) in eV/atom: 1.585
Calculated volume in Å³/atom: 27.0
Theoretical density in Mg/m³: 5.0
Electronic total energy in eV/atom: -3.54
Magnetic moment in μB per atom: 0.682
SG: P4/mmm

DFT (PBE) results for a relaxed PPb6S2Cl3 crystal.

Cell lengths 7.233, 7.233, 7.382 Å; angles 98.48, 98.48, 112.55 degrees
Fractional positions:
Pb  0.929  0.603  0.783
Pb  0.751  0.751  0.221
Pb  0.397  0.071  0.217
Pb  0.071  0.397  0.217
Pb  0.603  0.929  0.783
Pb  0.249  0.249  0.779
S  0.664  0.336  0.000
S  0.336  0.664  0.000
Cl  0.834  0.166  0.500
Cl  0.500  0.500  0.500
Cl  0.166  0.834  0.500
P  0.000  0.000  0.000

Output
E_form (uncorrected) in eV/atom: -0.514
Calculated volume in Å³/atom: 28.7
Theoretical density in Mg/m³: 7.0
Electronic total energy in eV/atom: -3.97
Magnetic moment in μB per atom: 0.000
SG: C2/m

DFT (PBE) results for a relaxed PPbS2Cl crystal.

Cell lengths 5.127, 5.127, 5.685 Å; angles 90.00, 90.00, 90.00 degrees
Fractional positions:
Pb  0.000  0.000  0.000
S  0.500  0.000  0.000
S  0.000  0.500  0.000
P  0.000  0.000  0.500
Cl  0.500  0.500  0.500

Output
Polymorph energy (0 for the lowest one) in meV per atom: 1170
E_form (uncorrected) in eV/atom: 1.053
Calculated volume in Å³/atom: 29.9
Theoretical density in Mg/m³: 3.8
Electronic total energy in eV/atom: -2.79
Magnetic moment in μB per atom: 0.001
SG: P4/mmm

DFT (PBE) results for a relaxed PPbS2Cl crystal.

Cell lengths 4.898, 4.639, 4.898 Å; angles 90.00, 90.00, 90.00 degrees
Fractional positions:
S  0.500  0.000  0.000
S  0.000  0.000  0.500
P  0.000  0.500  0.000
Pb  0.500  0.500  0.500
Cl  0.000  0.000  0.000

Output
Polymorph energy (0 for the lowest one) in meV per atom: 870
E_form (uncorrected) in eV/atom: 0.752
Calculated volume in Å³/atom: 22.3
Theoretical density in Mg/m³: 5.0
Electronic total energy in eV/atom: -3.09
Magnetic moment in μB per atom: 0.000
SG: P4/mmm